# BaEuZrSnO6 | Alexandria via LeMat-Bulk | PBE | relaxed
data_BaEuZrSnO6
_cell_length_a 8.3664
_cell_length_b 8.3664
_cell_length_c 8.3664
_cell_angle_alpha 90.00
_cell_angle_beta 90.00
_cell_angle_gamma 90.00
_space_group_name_H-M_alt 'F -4 3 m'
_space_group_IT_number 216
_space_group_name_Hall 'F -4 2 3'
loop_
_atom_site_label
_atom_site_fract_x
_atom_site_fract_y
_atom_site_fract_z
Ba1 0.0000 0.0000 0.0000
Eu1 0.0000 0.0000 0.5000
Zr1 0.2500 0.2500 0.7500
Sn1 0.2500 0.2500 0.2500
O1 0.0016 0.2500 0.2500
# E_form (uncorrected): -2676 meV/atom